1.
DFT (GGA-PBE) results for NdTmTh2 after structural relaxation.

Cell: 5.6812 5.6812 5.6812 Å, 60.00 60.00 60.00°
Atoms (fractional coordinates):
1 Tm 0.0000 0.0000 0.0000
2 Th 0.7500 0.7500 0.7500
3 Th 0.2500 0.2500 0.2500
4 Nd 0.5000 0.5000 0.5000

Summary:
**Polymorph energy (0 for the lowest one)**: 149 meV per atom

2.
DFT (GGA-PBE) results for Ba2YTl after structural relaxation.

Cell: 12.3050 12.3050 12.3050 Å, 19.11 19.11 19.11°
Site moments in Bohr magnetons follow the coordinates.
Atoms (fractional coordinates):
1 Y 0.7650 0.7650 0.7650  0.12
2 Tl 0.4928 0.4928 0.4928  0.00
3 Ba 0.2339 0.2339 0.2339  0.01
4 Ba 0.0083 0.0083 0.0083  0.03

Summary:
**Polymorph energy (0 for the lowest one)**: 109 meV per atom

3.
DFT (GGA-PBE) results for TbPm14Sc after structural relaxation.

Cell: 7.2519 7.2519 10.2166 Å, 90.00 90.00 90.01°
Atoms (fractional coordinates):
1 Pm 0.1227 0.8773 0.7543
2 Pm 0.6270 0.8771 0.2459
3 Pm 0.8747 0.6245 0.0000
4 Pm 0.6273 0.3727 0.2462
5 Pm 0.8748 0.1252 0.5000
6 Pm 0.3746 0.1247 0.5000
7 Pm 0.3751 0.6249 0.5000
8 Pm 0.1227 0.8773 0.2457
9 Pm 0.1229 0.3730 0.7541
10 Pm 0.8753 0.6254 0.5000
11 Pm 0.1229 0.3730 0.2459
12 Pm 0.6273 0.3727 0.7538
13 Pm 0.6270 0.8771 0.7541
14 Pm 0.3755 0.1253 0.0000
15 Tb 0.3750 0.6250 0.0000
16 Sc 0.8751 0.1249 0.0000

4.
DFT (GGA-PBE) results for PmDyAlTl after structural relaxation.

Cell: 3.6974 3.6974 7.7209 Å, 90.00 90.00 90.00°
Atoms (fractional coordinates):
1 Pm 0.5000 0.5000 0.1215
2 Tl 0.0000 0.0000 0.8471
3 Dy 0.5000 0.5000 0.5937
4 Al 0.0000 0.0000 0.3657

Summary:
**Polymorph energy (0 for the lowest one)**: 0 meV per atom

5.
DFT (GGA-PBE) results for Tb4ZrCu5 after structural relaxation.

Cell: 3.4341 3.4341 17.2903 Å, 90.00 90.00 90.00°
Site moments in Bohr magnetons follow the coordinates.
Atoms (fractional coordinates):
1 Tb 0.0000 0.0000 0.8071  0.05
2 Tb 0.0000 0.0000 0.1929  0.05
3 Tb 0.0000 0.0000 0.3975  -0.01
4 Tb 0.0000 0.0000 0.6025  -0.01
5 Cu 0.5000 0.5000 0.5000  0.00
6 Cu 0.5000 0.5000 0.9159  0.04
7 Cu 0.5000 0.5000 0.2952  0.00
8 Cu 0.5000 0.5000 0.7048  0.00
9 Cu 0.5000 0.5000 0.0841  0.04
10 Zr 0.0000 0.0000 0.0000  0.29

6.
DFT (GGA-PBE) results for LaFe2Cu2 after structural relaxation.

Cell: 7.4286 7.4286 2.8299 Å, 90.00 90.00 90.00°
Site moments in Bohr magnetons follow the coordinates.
Atoms (fractional coordinates):
1 La 0.5000 0.5000 0.0000  -0.28
2 La 0.0000 0.0000 0.0000  -0.28
3 Fe 0.1142 0.3858 0.0000  2.40
4 Fe 0.8858 0.6142 0.0000  2.40
5 Fe 0.6142 0.1142 0.0000  2.41
6 Fe 0.3858 0.8858 0.0000  2.41
7 Cu 0.6723 0.8277 0.5000  0.04
8 Cu 0.3277 0.1723 0.5000  0.03
9 Cu 0.1723 0.6723 0.5000  0.03
10 Cu 0.8277 0.3277 0.5000  0.03

Summary:
**Polymorph energy (0 for the lowest one)**: 95 meV per atom

7.
DFT (GGA-PBE) results for TiTc2SnH after structural relaxation.

Cell: 4.2628 4.2628 3.6570 Å, 90.00 90.00 90.00°
Atoms (fractional coordinates):
1 Tc 0.0000 0.5000 0.0000
2 Tc 0.5000 0.0000 0.0000
3 Ti 0.0000 0.0000 0.5000
4 Sn 0.5000 0.5000 0.5000
5 H 0.0000 0.0000 0.0000

8.
DFT (GGA-PBE) results for SiWSe after structural relaxation.

Cell: 4.2538 4.2538 4.2538 Å, 60.00 60.00 60.00°
Atoms (fractional coordinates):
1 Si 0.7500 0.7500 0.7500
2 W 0.0000 0.0000 0.0000
3 Se 0.5000 0.5000 0.5000

Summary:
**Polymorph energy (0 for the lowest one)**: 769 meV per atom

9.
DFT (GGA-PBE) results for Sr2ZnRh after structural relaxation.

Cell: 4.4289 4.5131 6.1603 Å, 68.47 90.00 90.00°
Atoms (fractional coordinates):
1 Sr 0.5000 0.2640 0.3471
2 Sr 0.0000 0.9837 0.9077
3 Rh 0.5000 0.5718 0.7314
4 Zn 0.0000 0.6804 0.5138

10.
DFT (GGA-PBE) results for Re2Pd2S after structural relaxation.

Cell: 3.5517 3.5517 6.9523 Å, 75.20 75.20 90.00°
Atoms (fractional coordinates):
1 Pd 0.2500 0.7500 0.5000
2 Pd 0.7500 0.2500 0.5000
3 S 0.0000 0.0000 0.0000
4 Re 0.4058 0.4058 0.1884
5 Re 0.5942 0.5942 0.8116

Summary:
**Polymorph energy (0 for the lowest one)**: 563 meV per atom

11.
DFT (GGA-PBE) results for KZrRe after structural relaxation.

Cell: 7.7238 7.7238 7.7238 Å, 154.68 154.68 36.11°
Atoms (fractional coordinates):
1 Re 0.3025 0.3025 0.0000
2 Zr 0.7196 0.7196 0.0000
3 K 0.9779 0.9779 0.0000

Summary:
**Polymorph energy (0 for the lowest one)**: 8 meV per atom

12.
DFT (GGA-PBE) results for GeH3Cl after structural relaxation.

Cell: 4.7503 5.6537 6.6851 Å, 90.05 89.98 89.69°
Atoms (fractional coordinates):
1 H 0.0998 0.3344 0.9907
2 H 0.1000 0.3336 0.6082
3 H 0.5980 0.0190 0.1077
4 H 0.0543 0.9412 0.2995
5 H 0.5564 0.4097 0.7992
6 H 0.5968 0.0200 0.4901
7 Cl 0.6345 0.5453 0.2994
8 Cl 0.1345 0.8080 0.7991
9 Ge 0.2357 0.4279 0.7993
10 Ge 0.7337 0.9248 0.2992

Summary:
**Polymorph energy (0 for the lowest one)**: 9 meV per atom

| no. | mass density (Mg/m³) | VASP energy (eV per formula unit) |
| --- | --- | --- |
| 1 | 10.0 | -23.363 |
| 2 | 5.4 | -12.709 |
| 3 | 6.9 | -77.102 |
| 4 | 8.5 | -16.929 |
| 5 | 8.5 | -49.566 |
| 6 | 8.0 | -28.801 |
| 7 | 9.1 | -36.848 |
| 8 | 8.9 | -19.191 |
| 9 | 5.0 | -13.263 |
| 10 | 12.5 | -35.088 |
| 11 | 6.2 | -19.802 |
| 12 | 2.1 | -17.462 |